1.
Here is a geometry-optimized Be2CoRu structure from the Alexandria database. Energies are from PBE-GGA.

Unit cell a=4.564 b=4.564 c=3.689 alpha=66.24 beta=66.24 gamma=35.26
Sites, in units of the cell vectors:
Co 0.508 0.508 0.491
Be 0.255 0.255 0.246
Be 0.988 0.988 0.012
Ru 0.749 0.749 0.752

## Properties
Final energy in eV per cell: -24.491
Space group: Imm2

2.
Here is a geometry-optimized SmTcN3 structure from the Alexandria database. Energies are from PBE-GGA.

Unit cell a=5.074 b=6.515 c=9.812 alpha=90.00 beta=90.00 gamma=90.00
Sites, in units of the cell vectors:
N 0.184 0.460 0.750
N 0.816 0.540 0.250
N 0.613 0.665 0.908
N 0.387 0.335 0.092
N 0.887 0.165 0.592
N 0.316 0.960 0.750
N 0.887 0.165 0.908
N 0.113 0.835 0.092
N 0.387 0.335 0.408
N 0.613 0.665 0.592
N 0.684 0.040 0.250
N 0.113 0.835 0.408
Tc 0.063 0.180 0.750
Tc 0.937 0.820 0.250
Tc 0.437 0.680 0.750
Tc 0.563 0.320 0.250
Sm 0.500 0.000 0.000
Sm 0.500 0.000 0.500
Sm 0.000 0.500 0.000
Sm 0.000 0.500 0.500

## Properties
E_form (uncorrected) in eV per formula unit: -2.5
Space group: Pnma

3.
Here is a geometry-optimized SnTeSe2 structure from the Alexandria database. Energies are from PBE-GGA.

Unit cell a=9.098 b=9.098 c=9.098 alpha=25.56 beta=25.56 gamma=25.56
Sites, in units of the cell vectors:
Se 0.103 0.103 0.103
Se 0.897 0.897 0.897
Sn 0.500 0.500 0.500
Te 0.000 0.000 0.000

## Properties
E_form (uncorrected) in eV per formula unit: -0.4
ΔE to the lowest computed polymorph in eV/atom: 0.000
Space group: R-3m

4.
Here is a geometry-optimized MgTiN structure from the Alexandria database. Energies are from PBE-GGA.

Unit cell a=5.259 b=3.017 c=10.245 alpha=90.00 beta=99.97 gamma=90.00
Sites, in units of the cell vectors:
N 0.624 0.500 0.844
N 0.402 0.000 0.589
N 0.402 0.500 0.089
N 0.624 0.000 0.344
Mg 0.242 0.500 0.706
Mg 0.022 0.500 0.963
Mg 0.242 0.000 0.206
Mg 0.022 0.000 0.463
Ti 0.531 0.000 0.970
Ti 0.724 0.500 0.228
Ti 0.724 0.000 0.728
Ti 0.531 0.500 0.470

## Properties
E_form (uncorrected) in eV per formula unit: -2.6
ΔE to the lowest computed polymorph in eV/atom: 0.088
Space group: Cm

5.
Here is a geometry-optimized HgHS2 structure from the Alexandria database. Energies are from PBE-GGA.

Unit cell a=6.379 b=6.379 c=6.379 alpha=36.92 beta=36.92 gamma=36.92
Last column: magnetic moment on the atom in μB.
Sites, in units of the cell vectors:
H 0.000 0.000 0.000  -0.01
Hg 0.500 0.500 0.500  0.07
S 0.909 0.909 0.909  0.31
S 0.091 0.091 0.091  0.31

## Properties
ΔE to the lowest computed polymorph in eV/atom: 0.227
Space group: R-3m

6.
Here is a geometry-optimized YMgZn2 structure from the Alexandria database. Energies are from PBE-GGA.

Unit cell a=7.638 b=7.638 c=6.262 alpha=52.42 beta=52.42 gamma=90.00
Sites, in units of the cell vectors:
Zn 0.150 0.625 0.250
Zn 0.600 0.125 0.250
Zn 0.875 0.850 0.750
Zn 0.375 0.400 0.750
Y 0.000 0.000 0.000
Y 0.750 0.250 0.500
Mg 0.250 0.750 0.500
Mg 0.500 0.500 0.000

## Properties
Final energy in eV per cell: -20.793
Space group: I-42d